No. 1
The following is a PBE-GGA calculation of a relaxed structure of LiTiF3, from Alexandria via LeMat-Bulk.

The structure in extended XYZ format:
```
5
Lattice="-3.6232 0.4321 -0.5654 -0.5950 -0.2303 3.6368 0.3904 3.6598 0.2956" Properties=species:S:1:pos:R:3 pbc="T T T"
Li 0.0000 0.0000 0.0000
Ti -1.9139 1.9308 1.6835
F -0.2975 -0.1152 1.8184
F 0.1952 1.8299 0.1478
F -1.8116 0.2161 -0.2827
```

The value obtained for the formation energy from raw total energies is -11.92 eV/f.u. The calculation puts the size of the total moment at 0.40 μB/atom. The relative energy among the computed polymorphs comes out at 0.179 eV per atom.

No. 2
The following is a PBE-GGA calculation of a relaxed structure of LiTiF6, from Alexandria via LeMat-Bulk.

The structure in extended XYZ format:
```
8
Lattice="-2.9933 3.8387 1.6951 -0.3477 -4.7931 1.8639 3.9903 1.2743 2.6200" Properties=species:S:1:pos:R:3 pbc="T T T"
Ti 0.3246 0.1599 3.0895
F -1.4685 -0.3852 3.3200
F 0.5418 -1.1306 1.7277
F 0.8528 -0.9811 4.4989
Li 0.0000 0.0000 0.0000
F 2.1178 0.7050 2.8590
F -0.2035 1.3009 1.6801
F 0.1075 1.4504 4.4514
```

The value obtained for the formation energy from raw total energies is -22.01 eV/f.u. The calculation puts the size of the total moment at 0.13 μB/atom.